First-principles (PBE) data for crystalline Na2SrBiF8 at its relaxed geometry, as listed in Alexandria via LeMat-Bulk.

## Properties
Crystal system: orthorhombic
DFT total energy (eV for the cell shown): -56.490
Volume (Å³ per cell): 180

```
data_Na2SrBiF8
_chemical_formula_sum 'Na2 Sr1 Bi1 F8'
_space_group_name_H-M_alt 'P m m m'
_space_group_IT_number 47
_cell_length_a 3.982
_cell_length_b 5.661
_cell_length_c 7.993
_cell_angle_alpha 90.00
_cell_angle_beta 90.00
_cell_angle_gamma 90.00
loop_
_space_group_symop_operation_xyz
'x,y,z'
'-x,-y,-z'
'-x,-y,z'
'x,y,-z'
'x,-y,-z'
'-x,y,z'
'-x,y,-z'
'x,-y,z'
loop_
_atom_site_label
_atom_site_type_symbol
_atom_site_fract_x
_atom_site_fract_y
_atom_site_fract_z
Na1 Na 0.000 0.000 0.233
Sr1 Sr 0.500 0.500 0.000
Bi1 Bi 0.500 0.500 0.500
F1 F 0.000 0.248 0.000
F2 F 0.000 0.283 0.500
F3 F 0.500 0.261 0.278
```


First-principles (PBE) data for crystalline NaSrBiF6 at its relaxed geometry, as listed in Alexandria via LeMat-Bulk.

## Properties
Crystal system: trigonal
DFT total energy (eV for the cell shown): -89.234
Volume (Å³ per cell): 319

```
data_NaSrBiF6
_chemical_formula_sum 'Na2 Sr2 Bi2 F12'
_space_group_name_H-M_alt 'P -3 1 c'
_space_group_IT_number 163
_space_group_name_Hall '-P 3 2c'
_cell_length_a 6.3264
_cell_length_b 6.3264
_cell_length_c 9.2071
_cell_angle_alpha 90.00
_cell_angle_beta 90.00
_cell_angle_gamma 120.00
loop_
_atom_site_label
_atom_site_type_symbol
_atom_site_fract_x
_atom_site_fract_y
_atom_site_fract_z
Na1 Na 0.0000 0.0000 0.0000
Sr1 Sr 0.3333 0.6667 0.2500
Bi1 Bi 0.3333 0.6667 0.7500
F1 F 0.0187 0.3512 0.6268
```


First-principles (PBE) data for crystalline NaBiTe2F at its relaxed geometry, as listed in Alexandria via LeMat-Bulk.

## Properties
Crystal system: tetragonal
DFT total energy (eV for the cell shown): -15.660
Volume (Å³ per cell): 140

```
data_NaBiTe2F
_chemical_formula_sum 'Na1 Bi1 Te2 F1'
_space_group_name_H-M_alt 'P 4/m m m'
_space_group_IT_number 123
_space_group_name_Hall '-P 4 2'
_cell_length_a 5.529
_cell_length_b 5.529
_cell_length_c 4.590
_cell_angle_alpha 90.00
_cell_angle_beta 90.00
_cell_angle_gamma 90.00
loop_
_atom_site_label
_atom_site_type_symbol
_atom_site_fract_x
_atom_site_fract_y
_atom_site_fract_z
Na1 Na 0.000 0.000 0.000
Bi1 Bi 0.500 0.500 0.000
Te1 Te 0.000 0.500 0.500
F1 F 0.500 0.500 0.500
```


First-principles (PBE) data for crystalline NaTiBiF2 at its relaxed geometry, as listed in Alexandria via LeMat-Bulk.

## Properties
Crystal system: tetragonal
DFT total energy (eV for the cell shown): -25.390
Volume (Å³ per cell): 98

```
data_NaTiBiF2
_chemical_formula_sum 'Na1 Ti1 Bi1 F2'
_space_group_name_H-M_alt 'P 4/m m m'
_space_group_IT_number 123
_space_group_name_Hall '-P 4 2'
_cell_length_a 4.132
_cell_length_b 4.132
_cell_length_c 5.711
_cell_angle_alpha 90.00
_cell_angle_beta 90.00
_cell_angle_gamma 90.00
loop_
_atom_site_label
_atom_site_type_symbol
_atom_site_fract_x
_atom_site_fract_y
_atom_site_fract_z
Na1 Na 0.000 0.000 0.000
Ti1 Ti 0.500 0.500 0.500
Bi1 Bi 0.500 0.500 0.000
F1 F 0.000 0.500 0.500
```


First-principles (PBE) data for crystalline Na2Tl3BiF9 at its relaxed geometry, as listed in Alexandria via LeMat-Bulk.

## Properties
Crystal system: trigonal
DFT total energy (eV for the cell shown): -62.934
Volume (Å³ per cell): 282

```
data_Na2Tl3BiF9
_chemical_formula_sum 'Na2 Tl3 Bi1 F9'
_space_group_name_H-M_alt 'P -3 m 1'
_space_group_IT_number 164
_space_group_name_Hall '-P 3 2"'
_cell_length_a 6.3584
_cell_length_b 6.3584
_cell_length_c 8.0466
_cell_angle_alpha 90.00
_cell_angle_beta 90.00
_cell_angle_gamma 120.00
loop_
_atom_site_label
_atom_site_type_symbol
_atom_site_fract_x
_atom_site_fract_y
_atom_site_fract_z
Na1 Na 0.3333 0.6667 0.1822
Tl1 Tl 0.0000 0.0000 0.0000
Tl2 Tl 0.3333 0.6667 0.7743
Bi1 Bi 0.0000 0.0000 0.5000
F1 F 0.0000 0.5000 0.0000
F2 F 0.1564 0.3128 0.3330
```


First-principles (PBE) data for crystalline NaTl2BiF6 at its relaxed geometry, as listed in Alexandria via LeMat-Bulk.

## Properties
Crystal system: monoclinic
DFT total energy (eV for the cell shown): -87.466
Volume (Å³ per cell): 379

```
data_NaTl2BiF6
_chemical_formula_sum 'Na2 Tl4 Bi2 F12'
_space_group_name_H-M_alt 'P 1 21/c 1'
_space_group_IT_number 14
_cell_length_a 6.427
_cell_length_b 6.471
_cell_length_c 11.137
_cell_angle_alpha 90.00
_cell_angle_beta 125.05
_cell_angle_gamma 90.00
loop_
_space_group_symop_operation_xyz
'x,y,z'
'-x,-y,-z'
'-x,y+1/2,-z+1/2'
'x,-y+1/2,z+1/2'
loop_
_atom_site_label
_atom_site_type_symbol
_atom_site_fract_x
_atom_site_fract_y
_atom_site_fract_z
Na1 Na 0.000 0.000 0.000
Tl1 Tl 0.244 0.027 0.750
Bi1 Bi 0.500 0.000 0.500
F1 F 0.183 0.210 0.464
F2 F 0.254 0.718 0.462
F3 F 0.325 0.019 0.254
```